1.
Here is a relaxed structure of LiP2IrCl from Alexandria. Energies are from PBE.

Lattice parameters (Å, degrees): 4.247 4.247 4.369 90.00 90.00 90.00
Sites, in units of the cell vectors:
Li  0.000  0.000  0.000
P  0.000  0.500  0.000
P  0.500  0.000  0.000
Ir  0.500  0.500  0.500
Cl  0.000  0.000  0.500

- V (Å³/atom) = 15.760
- total magnetization (μB per cell) = 0.00
- SG = P4/mmm (123)
- energy above the most stable polymorph in this dataset (meV/atom) = 1061.5

2.
Here is a relaxed structure of Rb2LiIrCl6 from Alexandria. Energies are from PBE.

Lattice parameters (Å, degrees): 6.961 6.961 6.961 115.26 115.26 98.43
Sites, in units of the cell vectors:
Rb  0.250  0.750  0.500
Rb  0.750  0.250  0.500
Li  0.000  0.000  0.000
Ir  0.500  0.500  0.000
Cl  0.244  0.244  0.000
Cl  0.274  0.274  0.548
Cl  0.274  0.726  0.000
Cl  0.726  0.274  0.000
Cl  0.726  0.726  0.452
Cl  0.756  0.756  0.000

- V (Å³/atom) = 25.263
- calculated total energy (Ha/atom) = -0.1354
- total magnetization (μB per cell) = 0.00
- SG = I4/mmm (139)

3.
Here is a relaxed structure of RbLiIrCl6 from Alexandria. Energies are from PBE.

Lattice parameters (Å, degrees): 6.460 6.460 7.370 90.00 90.00 120.00
Sites, in units of the cell vectors:
Rb  0.000  0.000  0.000
Li  0.333  0.667  0.500
Ir  0.667  0.333  0.500
Cl  0.380  0.027  0.683
Cl  0.380  0.352  0.317
Cl  0.648  0.027  0.317
Cl  0.648  0.620  0.683
Cl  0.973  0.352  0.683
Cl  0.973  0.620  0.317

- V (Å³/atom) = 29.596
- calculated total energy (Ha/atom) = -0.1332
- total magnetization (μB per cell) = 1.08
- SG = P312 (149)

4.
Here is a relaxed structure of LiReIr2Cl from Alexandria. Energies are from PBE.

Lattice parameters (Å, degrees): 4.451 4.451 4.312 90.00 90.00 90.00
Sites, in units of the cell vectors:
Li  0.000  0.000  0.000
Re  0.500  0.500  0.000
Ir  0.000  0.500  0.500
Ir  0.500  0.000  0.500
Cl  0.500  0.500  0.500

- V (Å³/atom) = 17.084
- calculated total energy (Ha/atom) = -0.1962
- total magnetization (μB per cell) = 0.83
- SG = P4/mmm (123)

5.
Here is a relaxed structure of LiIr2RuCl from Alexandria. Energies are from PBE.

Lattice parameters (Å, degrees): 4.423 4.423 4.336 90.00 90.00 90.00
Sites, in units of the cell vectors:
Li  0.000  0.000  0.000
Ir  0.000  0.500  0.500
Ir  0.500  0.000  0.500
Ru  0.500  0.500  0.000
Cl  0.500  0.500  0.500

- V (Å³/atom) = 16.965
- calculated total energy (Ha/atom) = -0.1822
- total magnetization (μB per cell) = 0.00
- SG = P4/mmm (123)

6.
Here is a relaxed structure of LiIrS2Cl from Alexandria. Energies are from PBE.

Lattice parameters (Å, degrees): 4.552 4.552 5.434 90.00 90.00 90.00
Sites, in units of the cell vectors:
Li  0.000  0.000  0.000
Ir  0.500  0.500  0.500
S  0.000  0.500  0.500
S  0.500  0.000  0.500
Cl  0.500  0.500  0.000

- V (Å³/atom) = 22.519
- total magnetization (μB per cell) = 0.00
- SG = P4/mmm (123)
- energy above the most stable polymorph in this dataset (meV/atom) = 0.0